(1)
VASP calculation (PBE) on a relaxed structure of Ca2InPd5Pt2.

Lattice parameters (Å, degrees): 9.571 9.571 4.123 90.00 90.00 90.00
Fractional positions:
Ca  0.170  0.330  0.000
Ca  0.330  0.830  0.000
Ca  0.670  0.170  0.000
Ca  0.830  0.670  0.000
In  0.000  0.000  0.000
In  0.500  0.500  0.000
Pd  0.000  0.500  0.500
Pd  0.066  0.801  0.500
Pd  0.199  0.066  0.500
Pd  0.301  0.566  0.500
Pd  0.434  0.301  0.500
Pd  0.500  0.000  0.500
Pd  0.566  0.699  0.500
Pd  0.699  0.434  0.500
Pd  0.801  0.934  0.500
Pd  0.934  0.199  0.500
Pt  0.127  0.627  0.000
Pt  0.373  0.127  0.000
Pt  0.627  0.873  0.000
Pt  0.873  0.373  0.000

Output
* space group: No. 127
* uncorrected energy: -5.039 eV/atom

---

(2)
VASP calculation (PBE) on a relaxed structure of Tb2Al2In.

Lattice parameters (Å, degrees): 4.482 14.660 3.567 90.00 90.00 90.00
Fractional positions:
Tb  0.000  0.123  0.000
Tb  0.000  0.877  0.000
Tb  0.500  0.377  0.000
Tb  0.500  0.623  0.000
Al  0.000  0.298  0.500
Al  0.000  0.702  0.500
Al  0.500  0.202  0.500
Al  0.500  0.798  0.500
In  0.000  0.500  0.500
In  0.500  0.000  0.500

Output
* space group: No. 65
* uncorrected energy: -4.383 eV/atom

---

(3)
VASP calculation (PBE) on a relaxed structure of YTc4Cl.

Lattice parameters (Å, degrees): 5.331 5.331 5.331 60.00 60.00 60.00
Fractional positions:
Y  0.000  0.000  0.000
Tc  0.376  0.376  0.376
Tc  0.376  0.376  0.873
Tc  0.376  0.873  0.376
Tc  0.873  0.376  0.376
Cl  0.750  0.750  0.750

Output
* space group: No. 216
* uncorrected energy: -7.768 eV/atom

---

(4)
VASP calculation (PBE) on a relaxed structure of VTcAsI2.

Lattice parameters (Å, degrees): 5.839 5.839 4.790 90.00 90.00 90.00
Fractional positions:
V  0.000  0.000  0.000
Tc  0.500  0.500  0.000
As  0.000  0.000  0.500
I  0.000  0.500  0.500
I  0.500  0.000  0.500

Output
* space group: No. 123
* uncorrected energy: -4.032 eV/atom

---

(5)
VASP calculation (PBE) on a relaxed structure of Sb3AuBr.

Lattice parameters (Å, degrees): 5.468 5.468 5.468 90.00 90.00 90.00
Fractional positions:
Sb  0.000  0.000  0.500
Sb  0.000  0.500  0.000
Sb  0.500  0.000  0.000
Au  0.500  0.500  0.500
Br  0.000  0.000  0.000

Output
* space group: No. 221
* offset from the most stable computed form: 6.23 eV per formula unit
* uncorrected energy: -2.311 eV/atom

---

(6)
VASP calculation (PBE) on a relaxed structure of ScHRu2Pt.

Lattice parameters (Å, degrees): 3.917 3.917 4.149 90.00 90.00 90.00
Fractional positions:
Sc  0.000  0.000  0.000
H  0.000  0.000  0.500
Ru  0.000  0.500  0.500
Ru  0.500  0.000  0.500
Pt  0.500  0.500  0.000

Output
* space group: No. 123
* offset from the most stable computed form: 0.00 eV per formula unit
* uncorrected energy: -7.264 eV/atom

---

(7)
VASP calculation (PBE) on a relaxed structure of Y2CF2.

Lattice parameters (Å, degrees): 6.909 6.909 4.160 90.00 90.00 90.00
Fractional positions:
Y  0.216  0.284  0.000
Y  0.284  0.784  0.000
Y  0.716  0.216  0.000
Y  0.784  0.716  0.000
C  0.000  0.000  0.000
C  0.500  0.500  0.000
F  0.142  0.358  0.500
F  0.358  0.858  0.500
F  0.642  0.142  0.500
F  0.858  0.642  0.500

Output
* space group: No. 127
* offset from the most stable computed form: 3.02 eV per formula unit
* uncorrected energy: -6.752 eV/atom

---

(8)
VASP calculation (PBE) on a relaxed structure of ThCoAs.

Lattice parameters (Å, degrees): 4.100 7.298 3.980 90.00 90.00 90.00
Fractional positions:
Th  0.000  0.000  0.000
Th  0.500  0.500  0.000
Co  0.000  0.331  0.500
Co  0.000  0.669  0.500
As  0.500  0.184  0.500
As  0.500  0.816  0.500

Output
* space group: No. 25
* uncorrected energy: -7.173 eV/atom